1.
Density functional theory data (PBE-GGA) for a relaxed structure of Y2Be.

## Properties
As for the crystal system: hexagonal. The value obtained for the energy above the lowest structure with this stoichiometry is 0.082 eV per atom.

POSCAR file:
```
Y2Be
1.0
4.940 0.000 0.000
-2.470 4.278 0.000
0.000 0.000 6.801
Y Be
4 2
Direct
0.000 0.000 0.000 Y
0.000 0.000 0.500 Y
0.333 0.667 0.250 Y
0.667 0.333 0.750 Y
0.333 0.667 0.750 Be
0.667 0.333 0.250 Be
```

***

2.
Density functional theory data (PBE-GGA) for a relaxed structure of GaAg2Sb.

## Properties
The value obtained for the raw formation energy is 0.43 eV/f.u. As for the crystal system: tetragonal. The value obtained for the energy above the lowest structure with this stoichiometry is 0.015 eV per atom.

POSCAR file:
```
GaAg2Sb
1.0
3.158 0.000 0.000
0.000 3.158 0.000
0.000 0.000 8.178
Ga Ag Sb
1 2 1
Direct
0.000 0.000 0.000 Ga
0.500 0.500 0.219 Ag
0.500 0.500 0.781 Ag
0.000 0.000 0.500 Sb
```

***

3.
Density functional theory data (PBE-GGA) for a relaxed structure of OsPbAu.

## Properties
As for the crystal system: tetragonal. The value obtained for the energy above the lowest structure with this stoichiometry is 0.103 eV per atom.

POSCAR file:
```
OsPbAu
1.0
3.045 0.000 0.000
0.000 3.045 0.000
0.000 0.000 13.263
Os Pb Au
2 2 2
Direct
0.000 0.000 0.000 Os
0.500 0.500 0.500 Os
0.000 0.000 0.655 Pb
0.500 0.500 0.155 Pb
0.000 0.000 0.365 Au
0.500 0.500 0.865 Au
```

***

4.
Density functional theory data (PBE-GGA) for a relaxed structure of BiMo2H.

## Properties
As for the crystal system: tetragonal. The value obtained for the energy above the lowest structure with this stoichiometry is 0.000 eV per atom.

POSCAR file:
```
BiMo2H
1.0
5.037 0.000 0.000
0.000 5.037 0.000
0.000 0.000 10.505
Bi Mo H
4 8 4
Direct
0.000 0.250 0.375 Bi
0.000 0.750 0.625 Bi
0.500 0.250 0.125 Bi
0.500 0.750 0.875 Bi
0.000 0.000 0.000 Mo
0.000 0.500 0.000 Mo
0.250 0.250 0.750 Mo
0.250 0.750 0.250 Mo
0.500 0.000 0.500 Mo
0.500 0.500 0.500 Mo
0.750 0.250 0.750 Mo
0.750 0.750 0.250 Mo
0.000 0.250 0.875 H
0.000 0.750 0.125 H
0.500 0.250 0.625 H
0.500 0.750 0.375 H
```

***

5.
Density functional theory data (PBE-GGA) for a relaxed structure of RbNaCd2Cu.

## Properties
As for the crystal system: tetragonal. Its energy is -7.93 eV/cell.

POSCAR file:
```
RbNaCd2Cu
1.0
5.231 0.000 0.000
0.000 5.231 0.000
0.000 0.000 5.642
Rb Na Cd Cu
1 1 2 1
Direct
0.000 0.000 0.000 Rb
0.500 0.500 0.000 Na
0.000 0.500 0.500 Cd
0.500 0.000 0.500 Cd
0.500 0.500 0.500 Cu
```

***

6.
Density functional theory data (PBE-GGA) for a relaxed structure of TmPu2Pb.

## Properties
As for the crystal system: cubic. The value obtained for the energy above the lowest structure with this stoichiometry is 0.257 eV per atom.

POSCAR file:
```
TmPu2Pb
1.0
7.671 0.000 0.000
0.000 7.671 0.000
0.000 0.000 7.671
Tm Pu Pb
4 8 4
Direct
0.000 0.000 0.000 Tm
0.000 0.500 0.500 Tm
0.500 0.000 0.500 Tm
0.500 0.500 0.000 Tm
0.250 0.250 0.250 Pu
0.250 0.250 0.750 Pu
0.250 0.750 0.250 Pu
0.250 0.750 0.750 Pu
0.750 0.250 0.250 Pu
0.750 0.250 0.750 Pu
0.750 0.750 0.250 Pu
0.750 0.750 0.750 Pu
0.000 0.000 0.500 Pb
0.000 0.500 0.000 Pb
0.500 0.000 0.000 Pb
0.500 0.500 0.500 Pb
```

***

Repeat the fifth record exactly.
Density functional theory data (PBE-GGA) for a relaxed structure of RbNaCd2Cu.

## Properties
As for the crystal system: tetragonal. Its energy is -7.93 eV/cell.

POSCAR file:
```
RbNaCd2Cu
1.0
5.231 0.000 0.000
0.000 5.231 0.000
0.000 0.000 5.642
Rb Na Cd Cu
1 1 2 1
Direct
0.000 0.000 0.000 Rb
0.500 0.500 0.000 Na
0.000 0.500 0.500 Cd
0.500 0.000 0.500 Cd
0.500 0.500 0.500 Cu
```

***

Question: Which formula does entry 2 have?
Answer: GaAg2Sb

***

Question: What is the formula in the sixth record?
Answer: TmPu2Pb